No. 1
Entry from Alexandria: crystalline Pr8Ge3Te3P at its relaxed geometry (GGA-PBE).

Cell and atoms, written as POSCAR:
```
Pr8Ge3Te3P
1.0
-1.8321 8.2900 2.0384
-5.9311 -4.8913 -4.1385
1.8518 -1.6949 8.5574
Pr Ge P Te
8 3 1 3
direct
0.7419 0.4838 0.7257
0.7635 0.5269 0.2813
0.2366 0.9822 0.7188
0.7634 0.0178 0.2812
0.2544 0.0178 0.2812
0.2581 0.5162 0.2743
0.2365 0.4731 0.7187
0.7456 0.9822 0.7188
0.0000 0.5000 0.5000
0.5000 0.5000 0.5000
0.5000 0.0000 0.5000
0.0000 0.0000 0.5000
0.0000 0.0000 0.0000
0.5000 0.5000 0.0000
0.0000 0.5000 0.0000
```

Output
The energy is -5.61 eV per atom. Its formation energy (no corrections) is -1146 meV/atom.

***

No. 2
Entry from Alexandria: crystalline LaCeNd2Sb4 at its relaxed geometry (GGA-PBE).

Cell and atoms, written as POSCAR:
```
LaCeNd2Sb4
1.0
4.5457 0.0000 0.0000
0.0000 7.8674 -0.1550
0.0000 2.7690 7.3737
Sb Nd La Ce
4 2 1 1
direct
0.5000 0.2485 0.7544
0.0000 0.2507 0.2462
0.5000 0.7515 0.2456
0.0000 0.7493 0.7538
0.5000 0.0000 0.5000
0.0000 0.0000 0.0000
0.0000 0.5000 0.5000
0.5000 0.5000 0.0000
```

Output
The energy is -5.79 eV per atom. Its formation energy (no corrections) is -1176 meV/atom.

***

No. 3
Entry from Alexandria: crystalline AgAuS3 at its relaxed geometry (GGA-PBE).

Cell and atoms, written as POSCAR:
```
AgAuS3
1.0
-3.4879 -8.2802 -4.0962
8.7303 -6.0748 4.8458
-3.0854 -2.4703 2.4619
Au S Ag
4 12 4
direct
0.6887 0.9121 0.4714
0.8113 0.4121 0.0286
0.3113 0.0879 0.5286
0.1887 0.5879 0.9714
0.9165 0.1206 0.8512
0.8561 0.2632 0.6635
0.3561 0.2368 0.1635
0.1439 0.7368 0.3365
0.5835 0.6206 0.6488
0.6914 0.0668 0.1589
0.4165 0.3794 0.3512
0.6439 0.7632 0.8365
0.3086 0.9332 0.8411
0.8086 0.5668 0.3411
0.0835 0.8794 0.1488
0.1914 0.4332 0.6589
0.4054 0.8163 0.3361
0.9054 0.6837 0.8361
0.0946 0.3163 0.1639
0.5946 0.1837 0.6639
```

Output
The energy is -3.66 eV per atom. Its formation energy (no corrections) is 47 meV/atom.

***

No. 4
Entry from Alexandria: crystalline InBrNO2 at its relaxed geometry (GGA-PBE).

Cell and atoms, written as POSCAR:
```
InBrNO2
1.0
-1.5004 -0.8879 4.0297
3.9097 -1.6771 1.0862
1.2906 3.8724 1.3337
O N In Br
2 1 1 1
direct
0.5000 0.0000 0.0000
0.0000 0.5000 0.0000
0.0000 0.0000 0.5000
0.0000 0.0000 0.0000
0.5000 0.5000 0.5000
```

Output
The energy is -3.70 eV per atom. Its formation energy (no corrections) is 827 meV/atom.

***

No. 5
Entry from Alexandria: crystalline NaPrPu2O8 at its relaxed geometry (GGA-PBE).

Cell and atoms, written as POSCAR:
```
NaPrPu2O8
1.0
-0.0566 2.5378 6.0063
-0.8180 -6.4671 0.1658
5.7657 1.2991 -2.7547
Pr Pu O Na
1 2 8 1
direct
0.0000 0.0000 0.0000
0.5000 0.5000 0.0000
0.7500 0.2500 0.5000
0.9335 0.2457 0.3123
0.9335 0.6212 0.6878
0.5306 0.6995 0.8310
0.3005 0.1315 0.8310
0.3005 0.4694 0.1690
0.8685 0.6995 0.1690
0.7543 0.0665 0.6878
0.3788 0.0665 0.3123
0.2500 0.7500 0.5000
```

Output
The energy is -8.41 eV per atom. Its formation energy (no corrections) is -2206 meV/atom.

***

No. 6
Entry from Alexandria: crystalline PrGdCdCu at its relaxed geometry (GGA-PBE).

Cell and atoms, written as POSCAR:
```
PrGdCdCu
1.0
5.2485 0.0000 0.0000
2.6242 4.5453 0.0000
2.6242 1.5151 4.2853
Gd Pr Cd Cu
1 1 1 1
direct
0.5000 0.5000 0.5000
0.0000 0.0000 0.0000
0.7500 0.7500 0.7500
0.2500 0.2500 0.2500
```

Output
For the energy relative to the elements, the calculation gives -76 kJ/mol of formula units. The energy is -6.17 eV per atom.

***

No. 7
Entry from Alexandria: crystalline Ti2Al4Ge at its relaxed geometry (GGA-PBE).

Cell and atoms, written as POSCAR:
```
Ti2Al4Ge
1.0
-3.8456 1.3796 -2.7111
-2.5018 -3.9203 1.5538
-5.4621 2.1705 4.4184
Al Ge Ti
4 1 2
direct
0.8093 0.8093 0.3814
0.1907 0.1907 0.6186
0.5000 0.0000 0.0000
0.0000 0.5000 0.0000
0.0000 0.0000 0.0000
0.4003 0.4003 0.1994
0.5997 0.5997 0.8006
```

Output
For the energy relative to the elements, the calculation gives 395 kJ/mol of formula units. The energy is -4.47 eV per atom.

***

No. 8
Entry from Alexandria: crystalline Li2Si3Pt9 at its relaxed geometry (GGA-PBE).

Cell and atoms, written as POSCAR:
```
Li2Si3Pt9
1.0
6.6287 -0.0014 -2.9102
-3.8443 6.1341 0.0635
0.2101 0.2871 10.2150
Pt Li Si
18 4 6
direct
0.2157 0.5219 0.5805
0.2273 0.6799 0.0842
0.5370 0.1947 0.5680
0.7727 0.3201 0.9158
0.1137 0.8637 0.2500
0.9043 0.8569 0.5842
0.5586 0.3648 0.0805
0.1267 0.9690 0.9320
0.7843 0.4781 0.4195
0.8863 0.1363 0.7500
0.8733 0.0310 0.0680
0.4414 0.6352 0.9195
0.0957 0.1431 0.4158
0.5882 0.0805 0.2545
0.3260 0.3337 0.2455
0.6740 0.6663 0.7545
0.4630 0.8053 0.4320
0.4118 0.9195 0.7455
0.6773 0.7515 0.2491
0.3227 0.2485 0.7509
0.9976 0.5718 0.7491
0.0024 0.4282 0.2509
0.1497 0.8230 0.4897
0.5000 0.5000 0.5000
0.5000 0.0000 0.0000
0.8332 0.6600 0.0103
0.8503 0.1770 0.5103
0.1668 0.3400 0.9897
```

Output
The energy is -5.96 eV per atom. Its formation energy (no corrections) is -646 meV/atom.

***

No. 9
Entry from Alexandria: crystalline LaHgBrO at its relaxed geometry (GGA-PBE).

Cell and atoms, written as POSCAR:
```
LaHgBrO
1.0
4.1378 0.0000 0.0000
0.0000 4.1378 0.0000
0.0000 0.0000 13.3365
La Br O Hg
2 2 2 2
direct
0.7500 0.7500 0.9098
0.2500 0.2500 0.0902
0.7500 0.7500 0.2126
0.2500 0.2500 0.7874
0.2500 0.7500 0.0000
0.7500 0.2500 0.0000
0.2500 0.7500 0.5000
0.7500 0.2500 0.5000
```

Output
The energy is -5.16 eV per atom. Its formation energy (no corrections) is -2196 meV/atom.

***

No. 10
Entry from Alexandria: crystalline Ac2CeNiS5 at its relaxed geometry (GGA-PBE).

Cell and atoms, written as POSCAR:
```
Ac2CeNiS5
1.0
4.0358 0.0000 0.0000
-2.0179 8.4601 0.0000
0.0000 0.0000 12.4832
Ac S Ni Ce
4 10 2 2
direct
0.8805 0.7611 0.8472
0.8831 0.7661 0.1972
0.1169 0.2339 0.6972
0.1195 0.2389 0.3472
0.6847 0.3695 0.8687
0.3153 0.6305 0.3687
0.6586 0.3172 0.5219
0.3414 0.6828 0.0219
0.4950 0.9900 0.7571
0.0188 0.0376 0.0017
0.6978 0.3955 0.1841
0.9812 0.9624 0.5017
0.5050 0.0100 0.2571
0.3022 0.6045 0.6841
0.5555 0.1110 0.9210
0.4445 0.8890 0.4210
0.8247 0.6494 0.5252
0.1753 0.3506 0.0252
```

Output
The energy is -6.31 eV per atom. Its formation energy (no corrections) is -1804 meV/atom.

***

No. 11
Entry from Alexandria: crystalline NdBe2ZnAu4 at its relaxed geometry (GGA-PBE).

Cell and atoms, written as POSCAR:
```
NdBe2ZnAu4
1.0
-2.6877 0.7159 -3.1920
-1.9552 -3.2454 -1.8894
-8.4744 -0.1556 4.2929
Au Be Nd Zn
4 2 1 1
direct
0.4021 0.4021 0.7938
0.1271 0.1271 0.6188
0.8729 0.8729 0.3812
0.5979 0.5979 0.2062
0.2397 0.2397 0.2808
0.7603 0.7603 0.7192
0.0000 0.0000 0.0000
0.5000 0.5000 0.5000
```

Output
For the energy relative to the elements, the calculation gives -220 kJ/mol of formula units. The energy is -3.61 eV per atom.

***

No. 12
Entry from Alexandria: crystalline Tb2Cu12Ni3Ge at its relaxed geometry (GGA-PBE).

Cell and atoms, written as POSCAR:
```
Tb2Cu12Ni3Ge
1.0
6.1761 -1.2951 -0.9186
1.9239 6.0100 -0.9186
1.9239 1.1199 5.9757
Cu Ge Tb Ni
12 1 2 3
direct
0.2753 0.8002 0.8002
0.8475 0.4264 0.4264
0.7247 0.1998 0.1998
0.8002 0.8002 0.2753
0.5736 0.5736 0.1525
0.1525 0.5736 0.5736
0.1998 0.7247 0.1998
0.5736 0.1525 0.5736
0.1998 0.1998 0.7247
0.4264 0.4264 0.8475
0.8002 0.2753 0.8002
0.4264 0.8475 0.4264
0.0000 0.0000 0.0000
0.7473 0.7473 0.7473
0.2527 0.2527 0.2527
0.5000 0.0000 0.0000
0.0000 0.0000 0.5000
0.0000 0.5000 0.0000
```

Output
For the energy relative to the elements, the calculation gives 2 kJ/mol of formula units. The energy is -4.46 eV per atom.